1.
## MgAlTl (PBE)

Data for MgAlTl after structural relaxation.

The structure in extended XYZ format:
```
6
Lattice="3.2621 0.0000 0.0000 0.0040 4.4516 0.0000 1.6066 0.0145 9.8332" Properties=species:S:1:pos:R:3 pbc="T T T"
Mg 0.8030 1.1204 3.0026
Mg 4.0698 3.3457 6.8306
Al 2.4376 1.1210 5.6543
Al 2.4352 3.3451 4.1789
Tl 2.4323 1.1199 8.7476
Tl 2.4405 3.3462 1.0856
```

* SG: P-1, No. 2
* electronic total energy: -2.482 eV per atom

=====

2.
## MgAl3Tl (PBE)

Data for MgAl3Tl after structural relaxation.

The structure in extended XYZ format:
```
5
Lattice="5.1964 0.0000 0.0000 0.0000 5.1964 0.0000 0.0000 0.0000 5.1964" Properties=species:S:1:pos:R:3 pbc="T T T"
Mg 0.0000 0.0000 0.0000
Al 0.0000 0.0000 2.5982
Al 0.0000 2.5982 0.0000
Al 2.5982 0.0000 0.0000
Tl 2.5982 2.5982 2.5982
```

* SG: Pm-3m, No. 221
* energy above the lowest structure with this stoichiometry: 0.00 eV per formula unit
* electronic total energy: -2.299 eV per atom

=====

3.
## MgAlTl3 (PBE)

Data for MgAlTl3 after structural relaxation.

The structure in extended XYZ format:
```
5
Lattice="5.4967 0.0000 0.0000 0.0000 5.4967 0.0000 0.0000 0.0000 5.4967" Properties=species:S:1:pos:R:3 pbc="T T T"
Mg 0.0000 0.0000 0.0000
Al 2.7483 2.7483 2.7483
Tl 0.0000 0.0000 2.7483
Tl 0.0000 2.7483 0.0000
Tl 2.7483 0.0000 0.0000
```

* SG: Pm-3m, No. 221
* energy above the lowest structure with this stoichiometry: 0.85 eV per formula unit
* electronic total energy: -1.998 eV per atom

=====

4.
## Mg2AlTl2 (PBE)

Data for Mg2AlTl2 after structural relaxation.

The structure in extended XYZ format:
```
10
Lattice="8.1169 0.0000 0.0000 0.0000 8.1169 0.0000 0.0000 0.0000 3.7819" Properties=species:S:1:pos:R:3 pbc="T T T"
Mg 1.1115 2.9469 0.0000
Mg 2.9469 7.0053 0.0000
Mg 5.1700 1.1115 0.0000
Mg 7.0053 5.1700 0.0000
Al 0.0000 0.0000 0.0000
Al 4.0584 4.0584 0.0000
Tl 1.3510 5.4095 1.8910
Tl 2.7074 1.3510 1.8910
Tl 5.4095 6.7658 1.8910
Tl 6.7658 2.7074 1.8910
```

* SG: P4/mbm, No. 127
* energy above the lowest structure with this stoichiometry: 0.00 eV per formula unit
* electronic total energy: -2.166 eV per atom